Entry 1:
Density functional theory data (SCAN) for PrH3S3O12 at its PBEsol-relaxed geometry.

Properties
Total DFT energy (no corrections), eV per cell: -382.83
Space-group type: P6_3, No. 173

Lattice parameters (Å, degrees): 5.7926 9.3990 9.3990 120.00 90.00 90.00
Closest atoms and distances in Å follow each position.
Element x y z (fractional)
1 Pr 0.2417 0.6667 0.3333  9 O 2.42-2.60
2 Pr 0.7417 0.3333 0.6667  9 O 2.42-2.60
3 O 0.5277 0.7568 0.5764  1 S 1.48
4 O 0.7716 0.9991 0.2009  1 H 1.01
5 O 0.2716 0.0009 0.7991  1 H 1.01
6 O 0.2716 0.7982 0.9991  1 H 1.01
7 O 0.9407 0.4620 0.2048  1 S 1.46
8 O 0.4407 0.2048 0.7428  1 S 1.46
9 O 0.7716 0.2018 0.0009  1 H 1.01
10 O 0.7451 0.0326 0.4762  1 S 1.45
11 O 0.2451 0.9674 0.5238  1 S 1.45
12 O 0.5277 0.8196 0.2432  1 S 1.48
13 O 0.0277 0.2432 0.4236  1 S 1.48
14 O 0.0277 0.5764 0.8196  1 S 1.48
15 O 0.9407 0.7952 0.2572  1 S 1.46
16 O 0.4407 0.2572 0.4620  1 S 1.46
17 O 0.2716 0.2009 0.2018  1 H 1.01
18 O 0.5277 0.4236 0.1804  1 S 1.48
19 O 0.7451 0.5238 0.5564  1 S 1.45
20 O 0.7451 0.4436 0.9674  1 S 1.45
21 O 0.0277 0.1804 0.7568  1 S 1.48
22 O 0.2451 0.5564 0.0326  1 S 1.45
23 O 0.7716 0.7991 0.7982  1 H 1.01
24 O 0.4407 0.5380 0.7952  1 S 1.46
25 O 0.2451 0.4762 0.4436  1 S 1.45
26 O 0.9407 0.7428 0.5380  1 S 1.46
27 S 0.7484 0.6975 0.6073  4 O 1.45-1.56
28 S 0.2484 0.0902 0.6975  4 O 1.45-1.56
29 S 0.7484 0.9098 0.3025  4 O 1.45-1.56
30 S 0.2484 0.3025 0.3927  4 O 1.45-1.56
31 S 0.7484 0.3927 0.0902  4 O 1.45-1.56
32 S 0.2484 0.6073 0.9098  4 O 1.45-1.56
33 H 0.3802 0.8323 0.0955  1 O 1.01
34 H 0.8802 0.0955 0.2632  1 O 1.01
35 H 0.8802 0.1677 0.9045  1 O 1.01
36 H 0.3802 0.9045 0.7368  1 O 1.01
37 H 0.8802 0.7368 0.8323  1 O 1.01
38 H 0.3802 0.2632 0.1677  1 O 1.01

***

Entry 2:
Density functional theory data (SCAN) for HPtO3 at its PBEsol-relaxed geometry.

Properties
Total DFT energy (no corrections), eV per cell: -89.38
Space-group type: Pm-3m, No. 221

Lattice parameters (Å, degrees): 3.8236 3.8236 3.8236 90.00 90.00 90.00
Closest atoms and distances in Å follow each position.
Element x y z (fractional)
1 O 0.0000 0.5000 0.0000  2 Pt 1.91
2 O 0.0000 0.0000 0.5000  2 Pt 1.91
3 O 0.5000 0.0000 0.0000  2 Pt 1.91
4 Pt 0.0000 0.0000 0.0000  6 O 1.91
5 H 0.5000 0.5000 0.5000  12 O 2.70

***

Entry 3:
Density functional theory data (SCAN) for RbHSO4 at its PBEsol-relaxed geometry.

Properties
Total DFT energy (no corrections), eV per cell: -567.40
Space-group type: Pc, No. 7

Lattice parameters (Å, degrees): 4.5127 14.3499 14.3876 118.15 90.00 90.00
Closest atoms and distances in Å follow each position.
Element x y z (fractional)
1 S 0.4440 0.4197 0.6321  4 O 1.46-1.56
2 S 0.4512 0.6653 0.3837  4 O 1.46-1.57
3 S 0.0149 0.3220 0.2867  4 O 1.46-1.58
4 S 0.9947 0.0770 0.5402  4 O 1.46-1.57
5 S 0.5488 0.1653 0.8837  4 O 1.46-1.57
6 S 0.5560 0.9197 0.1321  4 O 1.46-1.56
7 S 0.0053 0.5770 0.0402  4 O 1.46-1.57
8 S 0.9851 0.8220 0.7867  4 O 1.46-1.58
9 O 0.7943 0.8308 0.0792  1 H 1.06
10 O 0.8870 0.5683 0.9419  1 S 1.46
11 O 0.2057 0.3308 0.5792  1 H 1.06
12 O 0.2108 0.6136 0.2954  1 H 1.06
13 O 0.1130 0.0683 0.4419  1 S 1.46
14 O 0.6966 0.3822 0.5566  1 H 1.43, 1 S 1.49
15 O 0.3231 0.5184 0.6420  1 S 1.46
16 O 0.8998 0.7236 0.7865  1 S 1.46
17 O 0.5310 0.7662 0.3887  1 S 1.46
18 O 0.2946 0.8496 0.8171  1 S 1.46, 1 H 1.51
19 O 0.1897 0.4157 0.3785  1 H 1.02
20 O 0.7054 0.3496 0.3171  1 S 1.46, 1 H 1.51
21 O 0.2497 0.6560 0.0818  1 H 1.43, 1 S 1.49
22 O 0.7892 0.1136 0.7954  1 H 1.06
23 O 0.7013 0.5886 0.3457  1 H 1.43, 1 S 1.49
24 O 0.9081 0.9756 0.5327  1 S 1.46
25 O 0.9117 0.8222 0.6878  1 S 1.46
26 O 0.0919 0.4756 0.0327  1 S 1.46
27 O 0.7580 0.6235 0.1268  1 H 1.06
28 O 0.6702 0.1757 0.9822  1 S 1.46
29 O 0.5198 0.4250 0.7331  1 S 1.46
30 O 0.6769 0.0184 0.1420  1 S 1.46
31 O 0.2987 0.0886 0.8457  1 H 1.43, 1 S 1.49
32 O 0.2420 0.1235 0.6268  1 H 1.06
33 O 0.7503 0.1560 0.5818  1 H 1.43, 1 S 1.49
34 O 0.8103 0.9157 0.8785  1 H 1.02
35 O 0.4690 0.2662 0.8887  1 S 1.46
36 O 0.3298 0.6757 0.4822  1 S 1.46
37 O 0.1002 0.2236 0.2865  1 S 1.46
38 O 0.0883 0.3222 0.1878  1 S 1.46
39 O 0.3034 0.8822 0.0566  1 H 1.43, 1 S 1.49
40 O 0.4802 0.9250 0.2331  1 S 1.46
41 H 0.5899 0.8998 0.8629  1 O 1.02
42 H 0.0094 0.8584 0.0756  1 O 1.06
43 H 0.9968 0.6085 0.3228  1 O 1.06
44 H 0.4101 0.3998 0.3629  1 O 1.02
45 H 0.0032 0.1085 0.8228  1 O 1.06
46 H 0.5451 0.6327 0.1006  1 O 1.06
47 H 0.4549 0.1327 0.6006  1 O 1.06
48 H 0.9906 0.3584 0.5756  1 O 1.06
49 Rb 0.5747 0.4111 0.1261  9 O 2.88-3.22
50 Rb 0.8481 0.5855 0.5507  9 O 2.91-3.08
51 Rb 0.1519 0.0855 0.0507  9 O 2.91-3.08
52 Rb 0.0099 0.8312 0.2967  8 O 2.88-3.12
53 Rb 0.4154 0.6635 0.8770  9 O 2.88-3.22
54 Rb 0.9901 0.3312 0.7967  8 O 2.88-3.12
55 Rb 0.5846 0.1635 0.3770  9 O 2.88-3.22
56 Rb 0.4253 0.9111 0.6261  9 O 2.88-3.22

***

Entry 4:
Density functional theory data (SCAN) for Rb3HS2O8 at its PBEsol-relaxed geometry.

Properties
ΔE to the lowest computed polymorph, eV/f.u.: 0.106
Space-group type: C2/m, No. 12

Lattice parameters (Å, degrees): 8.2915 11.5793 11.4829 120.28 109.69 90.00
Closest atoms and distances in Å follow each position.
Element x y z (fractional)
1 Rb 0.1198 0.3598 0.7195  7 O 2.77-3.04
2 Rb 0.4788 0.2358 0.4716  3 O 2.74-2.82, 2 H 2.94
3 Rb 0.4077 0.1401 0.8027  8 O 2.87-3.13
4 Rb 0.5212 0.7642 0.5284  3 O 2.74-2.82, 2 H 2.94
5 Rb 0.4077 0.6626 0.8027  8 O 2.87-3.13
6 Rb 0.0000 0.2265 0.0000  6 O 2.81-3.02
7 Rb 0.8802 0.6402 0.2805  7 O 2.77-3.04
8 Rb 0.0000 0.7735 0.0000  6 O 2.81-3.02
9 Rb 0.0721 0.8572 0.7144  9 O 2.90-3.14
10 Rb 0.5923 0.3374 0.1973  8 O 2.87-3.13
11 Rb 0.9279 0.1428 0.2856  9 O 2.90-3.14
12 Rb 0.5923 0.8599 0.1973  8 O 2.87-3.13
13 O 0.0118 0.5937 0.7072  1 S 1.47
14 O 0.2297 0.6036 0.2072  2 H 1.53, 1 S 1.56
15 O 0.2915 0.8927 0.9962  1 S 1.49
16 O 0.7688 0.5963 0.5154  1 S 1.46
17 O 0.7688 0.9191 0.5154  1 S 1.46
18 O 0.8174 0.3793 0.4944  1 S 1.47
19 O 0.7126 0.5967 0.9818  1 S 1.47
20 O 0.1918 0.0810 0.1619  1 S 1.49
21 O 0.2914 0.8649 0.3249  1 H 1.05
22 O 0.8174 0.1152 0.4944  1 S 1.47
23 O 0.7085 0.1073 0.0038  1 S 1.49
24 O 0.4780 0.3960 0.7919  1 S 1.48
25 O 0.0118 0.1135 0.7072  1 S 1.47
26 O 0.2915 0.1034 0.9962  1 S 1.49
27 O 0.1826 0.6207 0.5056  1 S 1.47
28 O 0.7086 0.1351 0.6751  1 H 1.05
29 O 0.7126 0.3851 0.9818  1 S 1.47
30 O 0.2874 0.4033 0.0182  1 S 1.47
31 O 0.9882 0.4063 0.2928  1 S 1.47
32 O 0.5008 0.1017 0.2034  1 S 1.49
33 O 0.5220 0.6040 0.2081  1 S 1.48
34 O 0.1826 0.8848 0.5056  1 S 1.47
35 O 0.4992 0.8983 0.7966  1 S 1.49
36 O 0.7085 0.8966 0.0038  1 S 1.49
37 O 0.2874 0.6149 0.0182  1 S 1.47
38 O 0.2312 0.0809 0.4846  1 S 1.46
39 O 0.2914 0.4600 0.3249  1 H 1.05
40 O 0.9882 0.8865 0.2928  1 S 1.47
41 O 0.7086 0.5400 0.6751  1 H 1.05
42 O 0.8082 0.9190 0.8381  1 S 1.49
43 O 0.2312 0.4037 0.4846  1 S 1.46
44 O 0.7703 0.3964 0.7928  2 H 1.53, 1 S 1.56
45 H 0.2604 0.5179 0.2766  1 O 1.05
46 H 0.2604 0.7587 0.2766  1 O 1.05
47 H 0.7396 0.2413 0.7234  1 O 1.05
48 H 0.7396 0.4821 0.7234  1 O 1.05
49 S 0.3353 0.5538 0.1076  4 O 1.47-1.56
50 S 0.6812 0.9555 0.9110  4 O 1.49
51 S 0.8349 0.0660 0.5924  4 O 1.46-1.59
52 S 0.6647 0.4462 0.8924  4 O 1.47-1.56
53 S 0.1651 0.4736 0.4076  4 O 1.46-1.59
54 S 0.1651 0.9340 0.4076  4 O 1.46-1.59
55 S 0.3188 0.0445 0.0890  4 O 1.49
56 S 0.8349 0.5264 0.5924  4 O 1.46-1.59